AcLu2Be: optimized geometry, PBE.

Cell: 3.4884 3.4884 8.9743 Å, 90.00 90.00 90.00°
Atoms (fractional coordinates):
Ac 0.0000 0.0000 0.0000
Lu 0.5000 0.5000 0.3216
Lu 0.5000 0.5000 0.6784
Be 0.0000 0.0000 0.5000

Its crystal system is tetragonal. As for the formation energy from the elements: 0.121 eV/atom. The space-group type is P4/mmm.

Cs3FeIr: optimized geometry, PBE.

Cell: 6.4027 6.4027 6.4027 Å, 90.00 90.00 90.00°
Atoms (fractional coordinates):
Cs 0.0000 0.0000 0.5000
Cs 0.0000 0.5000 0.0000
Cs 0.5000 0.0000 0.0000
Fe 0.5000 0.5000 0.5000
Ir 0.0000 0.0000 0.0000

Its crystal system is cubic. As for the formation energy from the elements: 1.246 eV/atom. The value obtained for the energy above the most stable polymorph in this dataset is 0.0 meV per atom. The space-group type is Pm-3m.

CeThCd6: optimized geometry, PBE.

Cell: 4.9990 6.8159 6.8159 Å, 60.13 90.00 90.00°
Atoms (fractional coordinates):
Ce 0.0000 0.0000 0.0000
Th 0.5000 0.6685 0.6685
Cd 0.0000 0.0209 0.4899
Cd 0.0000 0.4899 0.0209
Cd 0.0000 0.4921 0.4921
Cd 0.5000 0.1738 0.1738
Cd 0.5000 0.1760 0.6530
Cd 0.5000 0.6530 0.1760

Its crystal system is orthorhombic. As for the formation energy from the elements: -0.173 eV/atom. The space-group type is Amm2.

TaVRu: optimized geometry, PBE.

Cell: 5.2016 5.2016 5.2016 Å, 145.26 145.26 49.95°
Atoms (fractional coordinates):
Ta 0.0000 0.0000 0.0000
V 0.6670 0.6670 0.0000
Ru 0.3278 0.3278 0.0000

Its crystal system is tetragonal. As for the formation energy from the elements: -0.281 eV/atom. The value obtained for the energy above the most stable polymorph in this dataset is 5.2 meV per atom. The space-group type is I4mm.

MgZnCd2: optimized geometry, PBE.

Cell: 4.8586 4.8586 4.8586 Å, 60.00 60.00 60.00°
Atoms (fractional coordinates):
Mg 0.0000 0.0000 0.0000
Zn 0.5000 0.5000 0.5000
Cd 0.2500 0.2500 0.2500
Cd 0.7500 0.7500 0.7500

Its crystal system is cubic. As for the formation energy from the elements: 0.027 eV/atom. The value obtained for the energy above the most stable polymorph in this dataset is 48.0 meV per atom. The space-group type is Fm-3m.

Rb3Ce3AgS8: optimized geometry, PBE.

Cell: 9.0261 9.0261 9.0261 Å, 54.07 54.07 54.07°
Atoms (fractional coordinates):
Rb 0.0000 0.5000 0.5000
Rb 0.5000 0.0000 0.5000
Rb 0.5000 0.5000 0.0000
Ce 0.0000 0.0000 0.5000
Ce 0.0000 0.5000 0.0000
Ce 0.5000 0.0000 0.0000
Ag 0.5000 0.5000 0.5000
S 0.2127 0.7372 0.7372
S 0.2317 0.2317 0.2317
S 0.2628 0.2628 0.7873
S 0.2628 0.7873 0.2628
S 0.7372 0.2127 0.7372
S 0.7372 0.7372 0.2127
S 0.7683 0.7683 0.7683
S 0.7873 0.2628 0.2628

Its crystal system is trigonal. The value obtained for the formation energy (no corrections) is -1.444 eV/atom. The space-group type is R-3m.

KCaPCl2: optimized geometry, PBE.

Cell: 5.4406 5.4406 5.7838 Å, 90.00 90.00 90.00°
Atoms (fractional coordinates):
K 0.0000 0.0000 0.0000
Ca 0.5000 0.5000 0.5000
P 0.5000 0.5000 0.0000
Cl 0.0000 0.5000 0.5000
Cl 0.5000 0.0000 0.5000

Its crystal system is tetragonal. The value obtained for the energy above the most stable polymorph in this dataset is 0.0 meV per atom. The value obtained for the formation energy (no corrections) is -1.174 eV/atom. The space-group type is P4/mmm.

CaHg4Bi: optimized geometry, PBE.

Cell: 5.4100 5.4100 6.3691 Å, 90.33 90.33 119.97°
Atoms (fractional coordinates):
Ca 0.0000 0.0000 0.0000
Hg 0.3332 0.6666 0.2523
Hg 0.3334 0.6668 0.7477
Hg 0.6666 0.3332 0.2523
Hg 0.6668 0.3334 0.7477
Bi 0.0000 0.0000 0.5000

Its crystal system is monoclinic. As for the formation energy from the elements: -0.251 eV/atom. The value obtained for the energy above the most stable polymorph in this dataset is 0.0 meV per atom. The space-group type is C2/m.

Sm8ErPb6: optimized geometry, PBE.

Cell: 8.5534 8.5534 8.5534 Å, 66.03 66.03 66.03°
Atoms (fractional coordinates):
Sm 0.0606 0.7324 0.3975
Sm 0.1663 0.1663 0.1663
Sm 0.2676 0.6025 0.9394
Sm 0.3975 0.0606 0.7324
Sm 0.6025 0.9394 0.2676
Sm 0.7324 0.3975 0.0606
Sm 0.8337 0.8337 0.8337
Sm 0.9394 0.2676 0.6025
Er 0.5000 0.5000 0.5000
Pb 0.1022 0.4310 0.7606
Pb 0.2394 0.8978 0.5690
Pb 0.4310 0.7606 0.1022
Pb 0.5690 0.2394 0.8978
Pb 0.7606 0.1022 0.4310
Pb 0.8978 0.5690 0.2394

Its crystal system is trigonal. As for the formation energy from the elements: -0.376 eV/atom. The space-group type is R-3.

Pm4SmHo2Tm2: optimized geometry, PBE.

Cell: 8.0173 8.0173 8.0125 Å, 107.37 107.37 36.75°
Atoms (fractional coordinates):
Pm 0.0542 0.0542 0.3312
Pm 0.2770 0.2770 0.6681
Pm 0.7230 0.7230 0.3319
Pm 0.9458 0.9458 0.6688
Sm 0.5000 0.5000 0.0000
Ho 0.3885 0.3885 0.3317
Ho 0.6115 0.6115 0.6683
Tm 0.1681 0.1681 0.9997
Tm 0.8319 0.8319 0.0003

Its crystal system is monoclinic. As for the formation energy from the elements: 0.020 eV/atom. The space-group type is C2/m.

Tm5Ga2: optimized geometry, PBE.

Cell: 8.3450 8.3450 7.9258 Å, 96.91 96.91 43.09°
Atoms (fractional coordinates):
Tm 0.1239 0.8761 0.7500
Tm 0.1396 0.3022 0.3194
Tm 0.2694 0.5412 0.0762
Tm 0.3022 0.1396 0.8194
Tm 0.4588 0.7306 0.4238
Tm 0.5412 0.2694 0.5762
Tm 0.6978 0.8604 0.1806
Tm 0.7306 0.4588 0.9238
Tm 0.8604 0.6978 0.6806
Tm 0.8761 0.1239 0.2500
Ga 0.0884 0.7036 0.4185
Ga 0.2964 0.9116 0.0815
Ga 0.7036 0.0884 0.9185
Ga 0.9116 0.2964 0.5815

Its crystal system is monoclinic. As for the formation energy from the elements: -0.332 eV/atom. The value obtained for the energy above the most stable polymorph in this dataset is 0.0 meV per atom. The space-group type is C2/c.

Pa4Re: optimized geometry, PBE.

Cell: 7.8679 7.8679 7.8679 Å, 134.86 134.86 65.75°
Atoms (fractional coordinates):
Pa 0.1679 0.8177 0.8709
Pa 0.2029 0.3321 0.1498
Pa 0.3177 0.9469 0.6498
Pa 0.4469 0.2971 0.6291
Pa 0.5531 0.7029 0.3709
Pa 0.6823 0.0531 0.3502
Pa 0.7971 0.6679 0.8502
Pa 0.8321 0.1823 0.1291
Re 0.1250 0.3750 0.7500
Re 0.8750 0.6250 0.2500

Its crystal system is tetragonal. As for the formation energy from the elements: 0.071 eV/atom. The value obtained for the energy above the most stable polymorph in this dataset is 0.0 meV per atom. The space-group type is I4_1/a.

no.,total magnetization (Bohr magnetons per cell)
1,0.00
2,3.15
3,0.92
4,0.00
5,0.00
6,0.42
7,2.00
8,0.00
9,0.00
10,0.00
11,0.00
12,0.00